Entry from Alexandria via LeMat-Bulk: ZrAs2Ir at its PBEsol-relaxed geometry (SCAN).

a = 3.5224 Å, b = 3.5224 Å, c = 5.5263 Å
α = 90.00°, β = 90.00°, γ = 90.00°
Atoms (fractional coordinates):
Zr: 0.0000 0.0000 0.0000
As: 0.0000 0.0000 0.5106
As: 0.5000 0.5000 0.1752
Ir: 0.5000 0.5000 0.6521

Properties
Energy relative to the elements = -0.5925 eV/atom
Energy above the most stable polymorph in this dataset = 0 meV per atom
D(E_F) = 2.2 states/eV per cell


Entry from Alexandria via LeMat-Bulk: Na2CdAs2 at its PBEsol-relaxed geometry (SCAN).

a = 6.9505 Å, b = 6.9505 Å, c = 4.7248 Å
α = 90.00°, β = 90.00°, γ = 90.00°
Atoms (fractional coordinates):
Na: 0.1699 0.3301 0.0000
Na: 0.3301 0.8301 0.0000
Na: 0.6699 0.1699 0.0000
Na: 0.8301 0.6699 0.0000
Cd: 0.0000 0.0000 0.5000
Cd: 0.5000 0.5000 0.5000
As: 0.1286 0.6286 0.5000
As: 0.3714 0.1286 0.5000
As: 0.6286 0.8714 0.5000
As: 0.8714 0.3714 0.5000

Properties
Energy relative to the elements = -0.3815 eV/atom
D(E_F) = 1.3 states/eV per cell